The following is a PBE+U calculation of a relaxed NpVPdO6 crystal, from the Alexandria database.

Computed properties:
* uncorrected energy: -7.967 eV/atom
* calculated density: 7.2 g/cm³

extended XYZ file:
```
18
Lattice="-2.221 3.954 2.818 0.565 -4.842 2.180 8.306 2.400 3.179" Properties=species:S:1:pos:R:3 pbc="T T T"
O 7.507 -1.019 4.199
O 0.052 -0.182 3.651
O 6.598 1.695 4.526
O 4.243 0.898 5.232
O 1.583 3.374 3.015
O 5.067 -1.862 5.162
O 1.186 1.694 5.321
O 2.407 0.615 2.945
O 6.315 -0.189 6.687
O 0.334 1.702 1.490
O -0.858 2.532 3.978
O 5.464 -0.181 2.856
V 0.784 1.622 3.400
V 5.866 -0.109 4.777
Np 1.713 -1.310 3.187
Np 4.937 2.823 4.990
Pd 4.153 1.200 1.590
Pd 0.000 0.000 0.000
```